<1>
Material: BaOsPd2
Method: DFT, PBE
State: optimized geometry

Cell lengths 9.121, 9.121, 9.121 Å; angles 146.57, 146.57, 48.00 degrees
Fractional positions:
Ba 0.000 0.000 0.000
Ba 0.750 0.250 0.500
Os 0.250 0.750 0.500
Os 0.500 0.500 0.000
Pd 0.346 0.625 0.221
Pd 0.375 0.596 0.721
Pd 0.404 0.125 0.779
Pd 0.875 0.654 0.279

Summary:
The calculation puts the total magnetization at 0.0 μB/cell.

---

<2>
Material: BaOsPd2
Method: DFT, PBE
State: optimized geometry

Cell lengths 4.909, 4.909, 4.909 Å; angles 60.00, 60.00, 60.00 degrees
Fractional positions:
Ba 0.000 0.000 0.000
Os 0.500 0.500 0.500
Pd 0.250 0.250 0.250
Pd 0.750 0.750 0.750

Summary:
The calculation puts the total magnetization at 2.2 μB/cell.

---

According to the calculations, the structures order from most to least stable as <1>, <2>.

---

<1>
Material: Ba2OsPd
Method: DFT, PBE
State: optimized geometry

Cell lengths 6.808, 6.808, 6.808 Å; angles 103.49, 103.49, 122.23 degrees
Fractional positions:
Ba 0.119 0.625 0.994
Ba 0.375 0.369 0.494
Ba 0.631 0.125 0.006
Ba 0.875 0.881 0.506
Os 0.000 0.000 0.000
Os 0.750 0.250 0.500
Pd 0.250 0.750 0.500
Pd 0.500 0.500 0.000

Summary:
The calculation puts the total magnetization at 1.8 μB/cell.

---

<2>
Material: Ba2OsPd
Method: DFT, PBE
State: optimized geometry

Cell lengths 5.403, 5.403, 5.403 Å; angles 60.00, 60.00, 60.00 degrees
Fractional positions:
Ba 0.250 0.250 0.250
Ba 0.750 0.750 0.750
Os 0.000 0.000 0.000
Pd 0.500 0.500 0.500

Summary:
The calculation puts the total magnetization at 0.0 μB/cell.

---

According to the calculations, the structures order from most to least stable as <2>, <1>.

---

<1>
Material: BaPm2Os
Method: DFT, PBE
State: optimized geometry

Cell lengths 3.559, 3.559, 10.461 Å; angles 90.00, 90.00, 90.00 degrees
Fractional positions:
Ba 0.000 0.000 0.000
Pm 0.500 0.500 0.340
Pm 0.500 0.500 0.660
Os 0.000 0.000 0.500

Summary:
The calculation puts the total magnetization at 0.0 μB/cell.

---

<2>
Material: BaPm2Os
Method: DFT, PBE
State: optimized geometry

Cell lengths 9.763, 9.763, 9.763 Å; angles 25.47, 25.47, 25.47 degrees
Fractional positions:
Ba 0.000 0.000 0.000
Pm 0.215 0.215 0.215
Pm 0.785 0.785 0.785
Os 0.500 0.500 0.500

Summary:
The calculation puts the total magnetization at 0.0 μB/cell.

---

According to the calculations, the structures order from most to least stable as <1>, <2>.

---

<1>
Material: BaOs2Pt
Method: DFT, PBE
State: optimized geometry

Cell lengths 2.900, 3.675, 7.703 Å; angles 90.00, 90.06, 90.00 degrees
Fractional positions:
Ba 0.000 0.000 0.000
Os 0.498 0.500 0.341
Os 0.999 0.000 0.484
Pt 0.500 0.500 0.695

Summary:
The calculation puts the total magnetization at 0.0 μB/cell.

---

<2>
Material: BaOs2Pt
Method: DFT, PBE
State: optimized geometry

Cell lengths 9.730, 9.730, 9.730 Å; angles 151.19, 151.19, 41.20 degrees
Fractional positions:
Ba 0.000 0.000 0.000
Ba 0.750 0.250 0.500
Os 0.364 0.625 0.239
Os 0.375 0.614 0.739
Os 0.386 0.125 0.761
Os 0.875 0.636 0.261
Pt 0.250 0.750 0.500
Pt 0.500 0.500 0.000

Summary:
The calculation puts the total magnetization at 0.0 μB/cell.

---

<3>
Material: BaOs2Pt
Method: DFT, PBE
State: optimized geometry

Cell lengths 2.890, 5.041, 5.382 Å; angles 90.00, 90.00, 90.00 degrees
Fractional positions:
Ba 0.000 0.000 0.000
Os 0.000 0.500 0.500
Os 0.500 0.000 0.500
Pt 0.500 0.500 0.000

Summary:
The calculation puts the total magnetization at 1.1 μB/cell.

---

According to the calculations, the structures order from most to least stable as <1>, <2>, <3>.

---

<1>
Material: BaOs2Pt
Method: DFT, PBE
State: optimized geometry

Cell lengths 5.479, 5.479, 2.818 Å; angles 90.00, 90.00, 114.93 degrees
Fractional positions:
Ba 0.000 0.000 0.000
Os 0.000 0.500 0.500
Os 0.500 0.000 0.500
Pt 0.500 0.500 0.000

Summary:
The calculation puts the total magnetization at 0.0 μB/cell.

---

<2>
Material: BaOs2Pt
Method: DFT, PBE
State: optimized geometry

Cell lengths 10.470, 10.470, 10.470 Å; angles 15.94, 15.94, 15.94 degrees
Fractional positions:
Ba 0.000 0.000 0.000
Os 0.236 0.236 0.236
Os 0.764 0.764 0.764
Pt 0.500 0.500 0.500

Summary:
The calculation puts the total magnetization at 0.0 μB/cell.

---

<3>
Material: BaOs2Pt
Method: DFT, PBE
State: optimized geometry

Cell lengths 4.788, 4.788, 4.788 Å; angles 60.00, 60.00, 60.00 degrees
Fractional positions:
Ba 0.000 0.000 0.000
Os 0.500 0.500 0.500
Os 0.750 0.750 0.750
Pt 0.250 0.250 0.250

Summary:
The calculation puts the total magnetization at 0.0 μB/cell.

---

According to the calculations, the structures order from most to least stable as <2>, <3>, <1>.

---

<1>
Material: BaOs2Pt
Method: DFT, PBE
State: optimized geometry

Cell lengths 5.729, 5.729, 5.729 Å; angles 142.69, 119.98, 72.84 degrees
Fractional positions:
Ba 0.000 0.000 0.000
Os 0.336 0.836 0.500
Os 0.496 0.496 0.000
Pt 0.696 0.196 0.500

Summary:
The calculation puts the total magnetization at 0.0 μB/cell.

---

<2>
Material: BaOs2Pt
Method: DFT, PBE
State: optimized geometry

Cell lengths 3.010, 3.010, 8.610 Å; angles 90.00, 90.00, 90.00 degrees
Fractional positions:
Ba 0.000 0.000 0.000
Os 0.000 0.000 0.485
Os 0.500 0.500 0.313
Pt 0.500 0.500 0.699

Summary:
The calculation puts the total magnetization at 0.0 μB/cell.

---

According to the calculations, the structures order from most to least stable as <2>, <1>.

---

<1>
Material: BaOsPt2
Method: DFT, PBE
State: optimized geometry

Cell lengths 5.661, 5.661, 5.661 Å; angles 140.89, 119.71, 74.24 degrees
Fractional positions:
Ba 0.000 0.000 0.000
Os 0.500 0.500 0.000
Pt 0.315 0.815 0.500
Pt 0.685 0.185 0.500

Summary:
The calculation puts the total magnetization at 1.5 μB/cell.

---

<2>
Material: BaOsPt2
Method: DFT, PBE
State: optimized geometry

Cell lengths 9.044, 9.044, 9.044 Å; angles 145.66, 145.66, 49.36 degrees
Fractional positions:
Ba 0.375 0.625 0.750
Ba 0.625 0.375 0.250
Os 0.125 0.875 0.250
Os 0.875 0.125 0.750
Pt 0.000 0.000 0.000
Pt 0.000 0.000 0.500
Pt 0.000 0.500 0.000
Pt 0.500 0.000 0.500

Summary:
The calculation puts the total magnetization at 0.0 μB/cell.

---

<3>
Material: BaOsPt2
Method: DFT, PBE
State: optimized geometry

Cell lengths 3.280, 3.280, 7.760 Å; angles 90.00, 90.00, 90.00 degrees
Fractional positions:
Ba 0.000 0.000 0.000
Os 0.500 0.500 0.331
Pt 0.000 0.000 0.492
Pt 0.500 0.500 0.693

Summary:
The calculation puts the total magnetization at 0.0 μB/cell.

---

According to the calculations, the structures order from most to least stable as <2>, <3>, <1>.

---

<1>
Material: BaOsPt2
Method: DFT, PBE
State: optimized geometry

Cell lengths 4.855, 4.855, 4.855 Å; angles 60.00, 60.00, 60.00 degrees
Fractional positions:
Ba 0.000 0.000 0.000
Os 0.250 0.250 0.250
Pt 0.500 0.500 0.500
Pt 0.750 0.750 0.750

Summary:
The calculation puts the total magnetization at 2.0 μB/cell.

---

<2>
Material: BaOsPt2
Method: DFT, PBE
State: optimized geometry

Cell lengths 2.929, 3.770, 7.457 Å; angles 90.00, 90.00, 90.00 degrees
Fractional positions:
Ba 0.000 0.000 0.000
Os 0.000 0.000 0.500
Pt 0.500 0.500 0.320
Pt 0.500 0.500 0.680

Summary:
The calculation puts the total magnetization at 0.0 μB/cell.

---

According to the calculations, the structures order from most to least stable as <2>, <1>.

---

<1>
Material: BaOsPt2
Method: DFT, PBE
State: optimized geometry

Cell lengths 5.304, 5.304, 5.304 Å; angles 131.98, 131.98, 70.26 degrees
Fractional positions:
Ba 0.000 0.000 0.000
Os 0.250 0.750 0.500
Pt 0.500 0.500 0.000
Pt 0.750 0.250 0.500

Summary:
The calculation puts the total magnetization at 1.9 μB/cell.

---

<2>
Material: BaOsPt2
Method: DFT, PBE
State: optimized geometry

Cell lengths 10.210, 10.210, 10.210 Å; angles 16.71, 16.71, 16.71 degrees
Fractional positions:
Ba 0.000 0.000 0.000
Os 0.500 0.500 0.500
Pt 0.237 0.237 0.237
Pt 0.763 0.763 0.763

Summary:
The calculation puts the total magnetization at 0.0 μB/cell.

---

<3>
Material: BaOsPt2
Method: DFT, PBE
State: optimized geometry

Cell lengths 4.895, 4.895, 4.895 Å; angles 60.00, 60.00, 60.00 degrees
Fractional positions:
Ba 0.000 0.000 0.000
Os 0.500 0.500 0.500
Pt 0.250 0.250 0.250
Pt 0.750 0.750 0.750

Summary:
The calculation puts the total magnetization at 2.0 μB/cell.

---

<4>
Material: BaOsPt2
Method: DFT, PBE
State: optimized geometry

Cell lengths 2.919, 4.429, 6.718 Å; angles 90.00, 99.92, 90.00 degrees
Fractional positions:
Ba 0.000 0.000 0.000
Os 0.751 0.500 0.381
Pt 0.299 0.000 0.473
Pt 0.385 0.500 0.720

Summary:
The calculation puts the total magnetization at 0.0 μB/cell.

---

According to the calculations, the structures order from most to least stable as <4>, <2>, <3>, <1>.

---

<1>
Material: BaOsPt2
Method: DFT, PBE
State: optimized geometry

Cell lengths 10.260, 10.260, 10.260 Å; angles 16.66, 16.66, 16.66 degrees
Fractional positions:
Ba 0.000 0.000 0.000
Os 0.765 0.765 0.765
Pt 0.239 0.239 0.239
Pt 0.499 0.499 0.499

Summary:
The calculation puts the total magnetization at 0.0 μB/cell.

---

<2>
Material: BaOsPt2
Method: DFT, PBE
State: optimized geometry

Cell lengths 5.218, 5.218, 2.920 Å; angles 90.00, 90.00, 90.00 degrees
Fractional positions:
Ba 0.000 0.000 0.000
Os 0.500 0.500 0.000
Pt 0.000 0.500 0.500
Pt 0.500 0.000 0.500

Summary:
The calculation puts the total magnetization at 0.1 μB/cell.

---

According to the calculations, the structures order from most to least stable as <2>, <1>.

---

<1>
Material: BaOsPt2
Method: DFT, PBE
State: optimized geometry

Cell lengths 6.118, 6.118, 6.118 Å; angles 152.41, 129.94, 58.12 degrees
Fractional positions:
Ba 0.000 0.000 0.000
Os 0.723 0.223 0.500
Pt 0.277 0.777 0.500
Pt 0.512 0.512 0.000

Summary:
The calculation puts the total magnetization at 0.0 μB/cell.

---

<2>
Material: BaOsPt2
Method: DFT, PBE
State: optimized geometry

Cell lengths 4.798, 4.798, 6.524 Å; angles 99.48, 99.48, 36.89 degrees
Fractional positions:
Ba 0.000 0.000 0.000
Os 0.242 0.242 0.635
Pt 0.509 0.509 0.534
Pt 0.772 0.772 0.321

Summary:
The calculation puts the total magnetization at 0.0 μB/cell.

---

According to the calculations, the structures order from most to least stable as <2>, <1>.

---

<1>
Material: BaOsPt3
Method: DFT, PBE
State: optimized geometry

Cell lengths 5.262, 5.262, 5.262 Å; angles 90.00, 90.00, 90.00 degrees
Fractional positions:
Ba 0.000 0.000 0.000
Os 0.500 0.500 0.500
Pt 0.000 0.000 0.500
Pt 0.000 0.500 0.000
Pt 0.500 0.000 0.000

Summary:
The calculation puts the total magnetization at 3.6 μB/cell.

---

<2>
Material: BaOsPt3
Method: DFT, PBE
State: optimized geometry

Cell lengths 4.961, 4.961, 4.961 Å; angles 90.00, 90.00, 90.00 degrees
Fractional positions:
Ba 0.000 0.000 0.000
Os 0.500 0.500 0.500
Pt 0.000 0.500 0.500
Pt 0.500 0.000 0.500
Pt 0.500 0.500 0.000

Summary:
The calculation puts the total magnetization at 0.0 μB/cell.

---

According to the calculations, the structures order from most to least stable as <2>, <1>.